First-principles (PBE) data for an optimized crystal structure of NdY3S, as listed in Alexandria via LeMat-Bulk.

Properties
The calculation puts the total energy at -0.4649 Ry per atom.

Cell lengths 5.344, 5.344, 5.344 Å; angles 90.00, 90.00, 90.00 degrees
Fractional positions:
Y 0.000 0.500 0.000
Nd 0.500 0.500 0.500
Y 0.000 0.000 0.500
Y 0.500 0.000 0.000
S 0.000 0.000 0.000

***

First-principles (PBE) data for an optimized crystal structure of LaB2TeAs, as listed in Alexandria via LeMat-Bulk.

Properties
The calculation puts the total energy at -0.2577 Ry per atom.

Cell lengths 4.997, 4.997, 5.789 Å; angles 90.00, 90.00, 90.00 degrees
Fractional positions:
La 0.000 0.000 0.000
B 0.500 0.000 0.000
Te 0.500 0.500 0.500
B 0.000 0.500 0.000
As 0.000 0.000 0.500

***

no.,density of states at the Fermi level (states/eV per cell),calculated density (Mg/m³),total moment (μB per cell)
1,10.23,4.819,0.19
2,5.54,4.170,0.00